{"formula": "UBeSe2", "functional": "PBE-GGA", "state": "optimized geometry", "raw_formation_energy_kj_per_mol_atoms": -2.69, "n_ef_per_ev_cell": 7.6, "lattice_angstrom": [[-1.137, 1.658, -2.965], [-2.627, -1.441, -1.963], [-6.691, 4.085, 2.686]], "species": ["Se", "Be", "U", "Se"], "frac_coords": [[0.887, 0.887, 0.338], [0.500, 0.500, 0.500], [0.000, 0.000, 0.000], [0.113, 0.113, 0.662]]}